# 1
## RbSnH (PBE-GGA)

Data for RbSnH after structural relaxation.

The structure belongs to space group P2_1 (No. 4); the cell edges are 5.711, 4.704 and 7.439 Å and the angles 90.00°, 112.35° and 90.00°. The inequivalent atoms are Rb at (0.161, 0.000, 0.288), Sn at (0.421, 0.999, 0.863) and H at (0.109, 0.002, 0.878).

For the total energy, the calculation gives -2.976 eV/atom.

=====

# 2
## RbSnH (PBE-GGA)

Data for RbSnH after structural relaxation.

The structure belongs to space group P2/m (No. 10); the cell edges are 6.681, 3.760 and 6.779 Å and the angles 90.00°, 105.54° and 90.00°. The inequivalent atoms are Rb at (0.222, 0.000, 0.303), Sn at (0.299, 0.500, 0.845) and H at (0.422, 0.500, 0.636).

For the total energy, the calculation gives -2.911 eV/atom.

=====

# 3
## RbSnH2 (PBE-GGA)

Data for RbSnH2 after structural relaxation.

The structure belongs to space group Fm-3m (No. 225); the cell edges are 6.734, 6.734 and 6.734 Å and the angles 90.00°, 90.00° and 90.00°. The inequivalent atoms are Rb at (0.000, 0.000, 0.000), Sn at (0.000, 0.000, 0.500) and H at (0.250, 0.250, 0.250).

For the total energy, the calculation gives -2.359 eV/atom.

=====

no.,excess energy over the best structure of this formula in the dataset (eV per atom)
1,0.0000
2,0.0645
3,0.6558